No. 1
Computed, not measured: crystalline LaReB at its relaxed geometry at the GGA-PBE level of DFT.

The calculation puts the density at 9.86 g/cm³. The energy comes out at -6.84 eV per atom. Its symmetry is No. 216.

Unit cell a=4.310 b=4.310 c=4.310 alpha=60.00 beta=60.00 gamma=60.00
Fractional positions:
La 0.000 0.000 0.000
Re 0.750 0.750 0.750
B 0.500 0.500 0.500

---

No. 2
Computed, not measured: crystalline LaReB at its relaxed geometry at the GGA-PBE level of DFT.

The calculation puts the density at 10.08 g/cm³. The energy comes out at -7.24 eV per atom. Its symmetry is No. 216.

Unit cell a=4.277 b=4.277 c=4.277 alpha=60.00 beta=60.00 gamma=60.00
Fractional positions:
La 0.000 0.000 0.000
Re 0.500 0.500 0.500
B 0.250 0.250 0.250

---

No. 3
Computed, not measured: crystalline LaSmB4 at its relaxed geometry at the GGA-PBE level of DFT.

The calculation puts the density at 6.93 g/cm³. The energy comes out at -6.34 eV per atom. Its symmetry is No. 71.

Unit cell a=5.328 b=5.328 c=5.328 alpha=143.65 beta=114.60 gamma=77.19
Fractional positions:
La 0.000 0.000 0.000
Sm 0.500 0.500 0.000
B 0.085 0.751 0.334
B 0.417 0.751 0.666
B 0.583 0.249 0.334
B 0.915 0.249 0.666

---

No. 4
Computed, not measured: crystalline LaSmB4 at its relaxed geometry at the GGA-PBE level of DFT.

The calculation puts the density at 6.96 g/cm³. The energy comes out at -6.37 eV per atom. Its symmetry is No. 191.

Unit cell a=3.313 b=3.313 c=8.341 alpha=90.00 beta=90.00 gamma=120.00
Fractional positions:
La 0.000 0.000 0.000
Sm 0.000 0.000 0.500
B 0.333 0.667 0.260
B 0.333 0.667 0.740
B 0.667 0.333 0.260
B 0.667 0.333 0.740

---

No. 5
Computed, not measured: crystalline LaTaB at its relaxed geometry at the GGA-PBE level of DFT.

The calculation puts the density at 9.47 g/cm³. The energy comes out at -7.23 eV per atom. Its symmetry is No. 216.

Unit cell a=4.344 b=4.344 c=4.344 alpha=60.00 beta=60.00 gamma=60.00
Fractional positions:
La 0.000 0.000 0.000
Ta 0.500 0.500 0.500
B 0.250 0.250 0.250

---

No. 6
Computed, not measured: crystalline LaTaB at its relaxed geometry at the GGA-PBE level of DFT.

The calculation puts the density at 8.01 g/cm³. The energy comes out at -5.76 eV per atom. Its symmetry is No. 216.

Unit cell a=4.594 b=4.594 c=4.594 alpha=60.00 beta=60.00 gamma=60.00
Fractional positions:
La 0.000 0.000 0.000
Ta 0.250 0.250 0.250
B 0.750 0.750 0.750

---

No. 7
Computed, not measured: crystalline LaTbB4 at its relaxed geometry at the GGA-PBE level of DFT.

The calculation puts the density at 7.31 g/cm³. The energy comes out at -6.42 eV per atom. Its symmetry is No. 191.

Unit cell a=3.294 b=3.294 c=8.243 alpha=90.00 beta=90.00 gamma=120.00
Fractional positions:
La 0.000 0.000 0.000
Tb 0.000 0.000 0.500
B 0.333 0.667 0.266
B 0.333 0.667 0.734
B 0.667 0.333 0.266
B 0.667 0.333 0.734

---

No. 8
Computed, not measured: crystalline LaTbB4 at its relaxed geometry at the GGA-PBE level of DFT.

The calculation puts the density at 7.25 g/cm³. The energy comes out at -6.37 eV per atom. Its symmetry is No. 71.

Unit cell a=5.280 b=5.280 c=5.280 alpha=143.49 beta=114.16 gamma=77.70
Fractional positions:
La 0.000 0.000 0.000
Tb 0.500 0.500 0.000
B 0.086 0.752 0.334
B 0.418 0.752 0.666
B 0.582 0.248 0.334
B 0.914 0.248 0.666

---

No. 9
Computed, not measured: crystalline LaTc4B4 at its relaxed geometry at the GGA-PBE level of DFT.

The calculation puts the density at 8.05 g/cm³. The energy comes out at -8.51 eV per atom. Its symmetry is No. 86.

Unit cell a=7.491 b=7.491 c=4.221 alpha=90.00 beta=90.00 gamma=90.00
Fractional positions:
La 0.250 0.250 0.250
La 0.750 0.750 0.750
Tc 0.118 0.627 0.122
Tc 0.127 0.882 0.622
Tc 0.373 0.618 0.622
Tc 0.382 0.873 0.122
Tc 0.618 0.127 0.878
Tc 0.627 0.382 0.378
Tc 0.873 0.118 0.378
Tc 0.882 0.373 0.878
B 0.057 0.921 0.124
B 0.079 0.557 0.624
B 0.421 0.943 0.624
B 0.443 0.579 0.124
B 0.557 0.421 0.876
B 0.579 0.057 0.376
B 0.921 0.443 0.376
B 0.943 0.079 0.876

---

No. 10
Computed, not measured: crystalline LaThB at its relaxed geometry at the GGA-PBE level of DFT.

The calculation puts the density at 8.85 g/cm³. The energy comes out at -6.19 eV per atom. Its symmetry is No. 216.

Unit cell a=4.661 b=4.661 c=4.661 alpha=60.00 beta=60.00 gamma=60.00
Fractional positions:
La 0.000 0.000 0.000
Th 0.500 0.500 0.500
B 0.250 0.250 0.250

---

No. 11
Computed, not measured: crystalline LaThB4 at its relaxed geometry at the GGA-PBE level of DFT.

The calculation puts the density at 8.46 g/cm³. The energy comes out at -6.85 eV per atom. Its symmetry is No. 71.

Unit cell a=5.391 b=5.391 c=5.391 alpha=144.08 beta=115.29 gamma=76.29
Fractional positions:
La 0.000 0.000 0.000
Th 0.500 0.500 0.000
B 0.084 0.751 0.333
B 0.418 0.751 0.667
B 0.582 0.249 0.333
B 0.916 0.249 0.667

---

No. 12
Computed, not measured: crystalline LaThB4 at its relaxed geometry at the GGA-PBE level of DFT.

The calculation puts the density at 8.44 g/cm³. The energy comes out at -6.86 eV per atom. Its symmetry is No. 191.

Unit cell a=3.331 b=3.331 c=8.478 alpha=90.00 beta=90.00 gamma=120.00
Fractional positions:
La 0.000 0.000 0.000
Th 0.000 0.000 0.500
B 0.333 0.667 0.255
B 0.333 0.667 0.745
B 0.667 0.333 0.255
B 0.667 0.333 0.745